Record 1
Here is Ac5SiPb2 after structural relaxation from Alexandria via LeMat-Bulk. Energies are from PBE.

Its uncorrected formation energy is -484 meV per atom. Its volume is 38.2 Å³ per atom. The distance to the lowest polymorph of the same formula comes out at 0 meV/atom. The calculated total energy comes out at -0.3423 Ry/atom.

It has space group Pbam (No. 55), with a = 9.1492 Å, b = 13.4835 Å, c = 4.9487 Å, α = 90.00°, β = 90.00° and γ = 90.00°. Symmetry generates all atoms from Ac at (0.0000, 0.0000, 0.0000), Ac at (0.1484, 0.2939, 0.0000), Ac at (0.1901, 0.5684, 0.5000), Si at (0.0000, 0.5000, 0.0000) and Pb at (0.0751, 0.8258, 0.5000).



Record 2
Here is TcMo2AuN after structural relaxation from Alexandria via LeMat-Bulk. Energies are from PBE.

Its uncorrected formation energy is -26 meV per atom. Its volume is 14.0 Å³ per atom. The calculated total energy comes out at -0.6433 Ry/atom.

It has space group P4/mmm (No. 123), with a = 4.1313 Å, b = 4.1313 Å, c = 4.0991 Å, α = 90.00°, β = 90.00° and γ = 90.00°. Symmetry generates all atoms from Tc at (0.0000, 0.0000, 0.0000), Mo at (0.0000, 0.5000, 0.5000), Au at (0.5000, 0.5000, 0.0000) and N at (0.0000, 0.0000, 0.5000).